A geometry-optimized SmMgTl structure, computed with PBE.

The structure belongs to space group P-62m (No. 189); the cell edges are 8.7449, 8.7449 and 3.7455 Å and the angles 90.00°, 90.00° and 120.00°. Symmetry generates all atoms from Sm at (0.0000, 0.2906, 0.0000), Mg at (0.0000, 0.6212, 0.5000), Tl at (0.0000, 0.0000, 0.5000) and Tl at (0.3333, 0.6667, 0.0000).

The calculation puts the magnetization at 0.04 μB per cell. For the uncorrected energy, the calculation gives -3.034 eV/atom.

A geometry-optimized SmMgTl structure, computed with PBE.

The structure belongs to space group P-62m (No. 189); the cell edges are 7.6056, 7.6056 and 4.7112 Å and the angles 90.00°, 90.00° and 120.00°. Symmetry generates all atoms from Sm at (0.0000, 0.5683, 0.0000), Mg at (0.0000, 0.2414, 0.5000), Tl at (0.0000, 0.0000, 0.0000) and Tl at (0.3333, 0.6667, 0.5000).

The calculation puts the magnetization at 0.00 μB per cell. For the uncorrected energy, the calculation gives -3.226 eV/atom.

A geometry-optimized SmMgTl structure, computed with PBE.

The structure belongs to space group P-62m (No. 189); the cell edges are 7.7056, 7.7056 and 4.6320 Å and the angles 90.00°, 90.00° and 120.00°. Symmetry generates all atoms from Sm at (0.0000, 0.5749, 0.0000), Mg at (0.0000, 0.0000, 0.0000), Mg at (0.3333, 0.6667, 0.5000) and Tl at (0.0000, 0.2552, 0.5000).

The calculation puts the magnetization at 0.06 μB per cell. For the uncorrected energy, the calculation gives -3.052 eV/atom.

A geometry-optimized Sm2Tm2Mg structure, computed with PBE.

The structure belongs to space group P4/mbm (No. 127); the cell edges are 9.243, 9.243 and 3.647 Å and the angles 90.00°, 90.00° and 90.00°. Symmetry generates all atoms from Sm at (0.176, 0.324, 0.000), Tm at (0.124, 0.624, 0.500) and Mg at (0.000, 0.000, 0.500).

The calculation puts the magnetization at 0.01 μB per cell. For the uncorrected energy, the calculation gives -3.813 eV/atom.

A geometry-optimized SmTmMg4 structure, computed with PBE.

The structure belongs to space group P2/m (No. 10); the cell edges are 3.296, 5.229 and 9.081 Å and the angles 90.00°, 90.00° and 90.00°. Symmetry generates all atoms from Sm at (0.000, 0.000, 0.000), Tm at (0.000, 0.500, 0.500), Mg at (0.497, 0.000, 0.663) and Mg at (0.498, 0.500, 0.171).

The calculation puts the magnetization at 0.01 μB per cell. For the uncorrected energy, the calculation gives -2.630 eV/atom.

A geometry-optimized SmTmMg6 structure, computed with PBE.

The structure belongs to space group P4/mmm (No. 123); the cell edges are 5.156, 5.156 and 7.382 Å and the angles 90.00°, 90.00° and 90.00°. Symmetry generates all atoms from Sm at (0.000, 0.000, 0.000), Tm at (0.500, 0.500, 0.500), Mg at (0.000, 0.000, 0.500), Mg at (0.000, 0.500, 0.257) and Mg at (0.500, 0.500, 0.000).

The calculation puts the magnetization at 0.01 μB per cell. For the uncorrected energy, the calculation gives -2.382 eV/atom.

A geometry-optimized SmTmMg6 structure, computed with PBE.

The structure belongs to space group Pmm2 (No. 25); the cell edges are 5.177, 7.396 and 5.177 Å and the angles 90.00°, 90.00° and 90.00°. Symmetry generates all atoms from Sm at (0.000, 0.000, 0.000), Tm at (0.500, 0.500, 0.493), Mg at (0.000, 0.256, 0.501), Mg at (0.000, 0.500, 0.000), Mg at (0.500, 0.000, 0.495) and Mg at (0.500, 0.256, 0.993).

The calculation puts the magnetization at 0.01 μB per cell. For the uncorrected energy, the calculation gives -2.382 eV/atom.

A geometry-optimized SmTmMg structure, computed with PBE.

The structure belongs to space group F-43m (No. 216); the cell edges are 7.401, 7.401 and 7.401 Å and the angles 90.00°, 90.00° and 90.00°. Symmetry generates all atoms from Sm at (0.000, 0.000, 0.000), Tm at (0.000, 0.000, 0.500) and Mg at (0.250, 0.250, 0.250).

The value obtained for the energy above the most stable polymorph in this dataset is 0.000 eV per atom. The calculation puts the magnetization at 1.43 μB per cell.

A geometry-optimized SmMgW structure, computed with PBE.

The structure belongs to space group F-43m (No. 216); the cell edges are 6.950, 6.950 and 6.950 Å and the angles 90.00°, 90.00° and 90.00°. Symmetry generates all atoms from Sm at (0.000, 0.000, 0.000), Mg at (0.250, 0.250, 0.750) and W at (0.250, 0.250, 0.250).

The calculation puts the magnetization at 11.50 μB per cell. For the uncorrected energy, the calculation gives -4.831 eV/atom.

A geometry-optimized SmYMg6 structure, computed with PBE.

The structure belongs to space group P4/mmm (No. 123); the cell edges are 5.188, 5.188 and 7.352 Å and the angles 90.00°, 90.00° and 90.00°. Symmetry generates all atoms from Sm at (0.000, 0.000, 0.000), Y at (0.500, 0.500, 0.500), Mg at (0.000, 0.000, 0.500), Mg at (0.000, 0.500, 0.254) and Mg at (0.500, 0.500, 0.000).

The calculation puts the magnetization at 0.01 μB per cell. For the uncorrected energy, the calculation gives -2.654 eV/atom.

A geometry-optimized SmYMg4 structure, computed with PBE.

The structure belongs to space group P2/m (No. 10); the cell edges are 3.332, 5.243 and 9.093 Å and the angles 90.00°, 90.00° and 90.00°. Symmetry generates all atoms from Sm at (0.000, 0.000, 0.000), Y at (0.000, 0.500, 0.500), Mg at (0.497, 0.000, 0.336) and Mg at (0.498, 0.500, 0.831).

The calculation puts the magnetization at 0.02 μB per cell. For the uncorrected energy, the calculation gives -2.978 eV/atom.

A geometry-optimized SmYMg6 structure, computed with PBE.

The structure belongs to space group Pmm2 (No. 25); the cell edges are 5.191, 7.346 and 5.192 Å and the angles 90.00°, 90.00° and 90.00°. Symmetry generates all atoms from Sm at (0.000, 0.000, 0.000), Y at (0.500, 0.500, 0.492), Mg at (0.000, 0.253, 0.501), Mg at (0.000, 0.500, 0.000), Mg at (0.500, 0.000, 0.494) and Mg at (0.500, 0.253, 0.992).

The calculation puts the magnetization at 0.01 μB per cell. For the uncorrected energy, the calculation gives -2.654 eV/atom.